No. 1
The following is a PBE calculation of a relaxed Rb2NaMoCl6 crystal, from Alexandria via LeMat-Bulk.

abc: 7.392 7.392 7.392
angles: 60.00 60.00 60.00
Fractional coordinates of all 10 atoms:
Rb  0.250  0.250  0.250
Rb  0.750  0.750  0.750
Na  0.000  0.000  0.000
Mo  0.500  0.500  0.500
Cl  0.264  0.264  0.736
Cl  0.264  0.736  0.264
Cl  0.264  0.736  0.736
Cl  0.736  0.264  0.264
Cl  0.736  0.264  0.736
Cl  0.736  0.736  0.264

Computed properties:
ΔE_f (raw) = -1.515 eV per atom
space-group type = Fm-3m



No. 2
The following is a PBE calculation of a relaxed Ac6HIrRh2 crystal, from Alexandria via LeMat-Bulk.

abc: 7.359 7.361 8.119
angles: 90.00 116.91 119.98
Fractional coordinates of all 10 atoms:
Ac  0.000  0.000  0.000
Ac  0.001  0.178  0.508
Ac  0.338  0.681  0.000
Ac  0.343  0.847  0.509
Ac  0.656  0.337  0.000
Ac  0.671  0.505  0.509
H  0.470  0.075  0.208
Ir  0.499  0.590  0.750
Rh  0.834  0.757  0.254
Rh  0.840  0.260  0.761

Computed properties:
space-group type = P1



No. 3
The following is a PBE calculation of a relaxed Ce3HAu crystal, from Alexandria via LeMat-Bulk.

abc: 8.699 8.699 6.311
angles: 90.00 90.00 113.07
Fractional coordinates of all 20 atoms:
Ce  0.026  0.974  0.796
Ce  0.155  0.345  0.750
Ce  0.249  0.751  0.023
Ce  0.251  0.749  0.523
Ce  0.345  0.155  0.250
Ce  0.474  0.526  0.296
Ce  0.526  0.474  0.704
Ce  0.655  0.845  0.750
Ce  0.749  0.251  0.477
Ce  0.751  0.249  0.977
Ce  0.845  0.655  0.250
Ce  0.974  0.026  0.204
H  0.131  0.869  0.277
H  0.369  0.631  0.777
H  0.631  0.369  0.223
H  0.869  0.131  0.723
Au  0.094  0.406  0.250
Au  0.406  0.094  0.750
Au  0.594  0.906  0.250
Au  0.906  0.594  0.750

Computed properties:
space-group type = Cmce



| no. | raw total energy (eV/cell) |
| --- | --- |
| 1 | -40.32 |
| 2 | -56.91 |
| 3 | -103.82 |